Density functional theory data (PBE with a Hubbard U) for an optimized crystal structure of TmFe2GeO6.

Lattice parameters (Å, degrees): 5.227 5.465 9.301 90.00 123.74 90.00
Space group P2_1/c (No. 14)
Asymmetric unit:
Tm 0.000 0.000 0.000 x2
Fe 0.220 0.039 0.721 x4
Ge 0.500 0.000 0.500 x2
O 0.150 0.156 0.461 x4
O 0.237 0.707 0.395 x4
O 0.410 0.109 0.276 x4

## Properties
Calculated volume ... 11.0 Å³/atom
Final energy ... -6.9407 eV/atom
Magnetic moment ... 9.00 μB/f.u.
DOS at the Fermi energy ... 3.61 states/eV/f.u.